{
  "formula": "Sc3Al",
  "functional": "PBE",
  "state": "relaxed",
  "lattice": [[-0.544, -3.582, 2.527], [4.369, -0.652, 0.016], [0.360, 2.502, 3.623]],
  "species": ["Al", "Sc", "Sc", "Sc"],
  "frac_coords": [[0.000, 0.000, 0.000], [0.500, 0.000, 0.500], [0.000, 0.500, 0.500], [0.500, 0.500, 0.000]],
  "e_tot_ev_per_cell": -23.7,
  "spacegroup": "Pm-3m, No. 221",
  "m_tot_mub_per_atom": 0.002,
  "formation_energy_mev_per_atom": -250
}